[1]
Material: Li2CuAs
Method: DFT, PBE-GGA
State: optimized geometry

* raw total energy: -13.8 eV/cell
* calculated volume: 57.2 Å³/f.u.
* M_tot: 0.0 μB per formula unit
* ΔE_f: -0.2959 eV per atom
* crystal system: monoclinic

a b c (Å): 2.7638 3.9996 5.1718
angles (deg): 90.00 90.76 90.00
With the nearest neighbours (Å) after each atom.
Space group P2/m (No. 10)
Asymmetric unit:
Li 0.0022 0.0000 0.2439 [2 per cell]  4 Li 2.52-2.76, 4 As 2.73-2.74, 4 Cu 2.76-2.78
Cu 0.5000 0.5000 0.5000 [1 per cell]  2 As 2.59, 8 Li 2.76-2.78, 2 Cu 2.76
As 0.5000 0.5000 0.0000 [1 per cell]  2 Cu 2.59, 8 Li 2.73-2.74, 2 As 2.76



[2]
Material: Li2CuAs
Method: DFT, PBE-GGA
State: optimized geometry

* raw total energy: -13.3 eV/cell
* calculated volume: 59.1 Å³/f.u.
* M_tot: 0.0 μB per formula unit
* ΔE_f: -0.1906 eV per atom
* crystal system: orthorhombic

a b c (Å): 2.8604 3.8373 5.3861
angles (deg): 90.00 90.00 90.00
With the nearest neighbours (Å) after each atom.
Space group Pmm2 (No. 25)
Asymmetric unit:
Li 0.0000 0.0000 0.0000 [1 per cell]  2 As 2.58-2.80, 4 Cu 2.73, 6 Li 2.82-2.86
Li 0.5000 0.5000 0.2780 [1 per cell]  2 Cu 2.58-2.80, 4 As 2.73, 6 Li 2.82-2.86
Cu 0.5000 0.5000 0.7575 [1 per cell]  6 Li 2.58-2.80, 4 As 2.71, 2 Cu 2.86
As 0.0000 0.0000 0.5206 [1 per cell]  6 Li 2.58-2.80, 4 Cu 2.71, 2 As 2.86



[3]
Material: Li2CuAs
Method: DFT, PBE-GGA
State: optimized geometry

* raw total energy: -29.3 eV/cell
* calculated volume: 60.6 Å³/f.u.
* M_tot: 0.0 μB per formula unit
* ΔE_f: -0.5183 eV per atom
* crystal system: hexagonal

a b c (Å): 4.1963 4.1963 7.9493
angles (deg): 90.00 90.00 120.00
With the nearest neighbours (Å) after each atom.
Space group P6_3/mmc (No. 194)
Asymmetric unit:
Li 0.3333 0.6667 0.0856 [4 per cell]  4 Li 2.61-2.78, 4 As 2.67-2.75, 3 Cu 2.75
Cu 0.0000 0.0000 0.2500 [2 per cell]  3 As 2.42
As 0.3333 0.6667 0.7500 [2 per cell]  3 Cu 2.42, 2 Li 2.67



[4]
Material: LiMn2CuAs
Method: DFT, PBE-GGA
State: optimized geometry

* raw total energy: -26.5 eV/cell
* calculated volume: 95.9 Å³/f.u.
* M_tot: 7.3 μB per formula unit
* ΔE_f: 0.4922 eV per atom
* crystal system: tetragonal

a b c (Å): 4.6285 4.6285 4.4747
angles (deg): 90.00 90.00 90.00
With the nearest neighbours (Å) after each atom.
Space group P4/mmm (No. 123)
Asymmetric unit:
Li 0.0000 0.0000 0.0000 [1 per cell]  2 As 2.24
Mn 0.0000 0.5000 0.5000 [2 per cell]  2 As 2.31
Cu 0.5000 0.5000 0.0000 [1 per cell]  8 Mn 3.22, 4 Li 3.27
As 0.0000 0.0000 0.5000 [1 per cell]  2 Li 2.24, 4 Mn 2.31



[5]
Material: NaLi2Cu2As2
Method: DFT, PBE-GGA
State: optimized geometry

* raw total energy: -76.7 eV/cell
* calculated volume: 123.2 Å³/f.u.
* M_tot: 0.0 μB per formula unit
* ΔE_f: -0.4195 eV per atom
* crystal system: trigonal

a b c (Å): 4.1151 4.1151 25.2006
angles (deg): 90.00 90.00 120.00
With the nearest neighbours (Å) after each atom.
Space group R-3m (No. 166, hexagonal axes)
Asymmetric unit:
Na 0.0000 0.0000 0.0000 [3 per cell]  6 As 3.23, 6 Cu 3.31, 2 Li 3.50
Li 0.0000 0.0000 0.1390 [6 per cell]  3 Cu 2.66, 4 As 2.71-2.72, 3 Li 2.75
Cu 0.0000 0.0000 0.4249 [6 per cell]  3 As 2.38, 3 Li 2.66
As 0.0000 0.0000 0.2467 [6 per cell]  3 Cu 2.38



[6]
Material: Na2LiCu3As4
Method: DFT, PBE-GGA
State: optimized geometry

* raw total energy: -37.8 eV/cell
* calculated volume: 179.9 Å³/f.u.
* M_tot: 0.0 μB per formula unit
* ΔE_f: -0.2402 eV per atom
* crystal system: tetragonal

a b c (Å): 4.1322 4.1322 10.5383
angles (deg): 90.00 90.00 90.00
With the nearest neighbours (Å) after each atom.
Space group P-4m2 (No. 115)
Asymmetric unit:
Na 0.0000 0.5000 0.2368 [2 per cell]  8 As 3.11-3.46, 6 Cu 3.21-3.24, 2 Li 3.24
Li 0.5000 0.5000 0.0000 [1 per cell]  4 As 2.52
Cu 0.0000 0.0000 0.0000 [1 per cell]  4 As 2.52
Cu 0.0000 0.5000 0.6377 [2 per cell]  5 As 2.38-2.52
As 0.0000 0.0000 0.5000 [1 per cell]  4 Cu 2.52
As 0.0000 0.5000 0.8634 [2 per cell]  3 Cu 2.38-2.52, 2 Li 2.52
As 0.5000 0.5000 0.5000 [1 per cell]  4 Cu 2.52



[7]
Material: NaLiCu2As2
Method: DFT, PBE-GGA
State: optimized geometry

* raw total energy: -22.5 eV/cell
* calculated volume: 104.0 Å³/f.u.
* M_tot: 0.0 μB per formula unit
* ΔE_f: -0.3009 eV per atom
* crystal system: trigonal

a b c (Å): 4.1782 4.1782 6.8774
angles (deg): 90.00 90.00 120.00
With the nearest neighbours (Å) after each atom.
Space group P-3m1 (No. 164)
Asymmetric unit:
Na 0.0000 0.0000 0.0000 [1 per cell]  6 As 3.11, 6 Cu 3.35, 2 Li 3.44
Li 0.0000 0.0000 0.5000 [1 per cell]  6 Cu 2.66, 6 As 2.83
Cu 0.3333 0.6667 0.3383 [2 per cell]  4 As 2.44-2.60, 3 Li 2.66
As 0.3333 0.6667 0.7157 [2 per cell]  4 Cu 2.44-2.60



[8]
Material: LiCu2AsO
Method: DFT, PBE-GGA
State: optimized geometry

* raw total energy: -20.0 eV/cell
* formation energy from raw total energies: -0.055 eV per atom
* calculated volume: 74.9 Å³/f.u.
* M_tot: 0.0 μB per formula unit
* crystal system: tetragonal

a b c (Å): 3.8234 3.8234 5.1230
angles (deg): 90.00 90.00 90.00
With the nearest neighbours (Å) after each atom.
Space group P4/mmm (No. 123)
Asymmetric unit:
Li 0.0000 0.0000 0.0000 [1 per cell]  4 As 2.70
Cu 0.0000 0.5000 0.5000 [2 per cell]  2 O 1.91
As 0.5000 0.5000 0.0000 [1 per cell]  2 O 2.56, 4 Li 2.70
O 0.5000 0.5000 0.5000 [1 per cell]  4 Cu 1.91



[9]
Material: LiCuAs2O8
Method: DFT, PBE-GGA
State: optimized geometry

* raw total energy: -63.9 eV/cell
* formation energy from raw total energies: -0.745 eV per atom
* calculated volume: 148.0 Å³/f.u.
* M_tot: 4.0 μB per formula unit
* crystal system: trigonal

a b c (Å): 5.5362 5.5362 5.5744
angles (deg): 90.00 90.00 120.00
With the nearest neighbours (Å) after each atom.
Space group P-3m1 (No. 164)
Asymmetric unit:
Li 0.0000 0.0000 0.0000 [1 per cell]  6 O 2.16
Cu 0.0000 0.0000 0.5000 [1 per cell]  6 O 2.02
As 0.3333 0.6667 0.6329 [2 per cell]  4 O 1.73-1.74
O 0.1620 0.3239 0.7319 [6 per cell]  1 As 1.73
O 0.3333 0.6667 0.3214 [2 per cell]  1 As 1.74



[10]
Material: LiCuAs2Os
Method: DFT, PBE-GGA
State: optimized geometry

* raw total energy: -24.7 eV/cell
* calculated volume: 109.9 Å³/f.u.
* M_tot: 0.0 μB per formula unit
* ΔE_f: 0.3675 eV per atom
* crystal system: tetragonal

a b c (Å): 4.7222 4.7222 4.9298
angles (deg): 90.00 90.00 90.00
With the nearest neighbours (Å) after each atom.
Space group P4/mmm (No. 123)
Asymmetric unit:
Li 0.0000 0.0000 0.0000 [1 per cell]  4 Cu 3.34, 8 As 3.41
Cu 0.5000 0.5000 0.0000 [1 per cell]  2 Os 2.46
As 0.0000 0.5000 0.5000 [2 per cell]  2 Os 2.36
Os 0.5000 0.5000 0.5000 [1 per cell]  4 As 2.36, 2 Cu 2.46



[11]
Material: LiCu3As4Pb2
Method: DFT, PBE-GGA
State: optimized geometry

* raw total energy: -41.1 eV/cell
* calculated volume: 191.7 Å³/f.u.
* M_tot: 0.0 μB per formula unit
* ΔE_f: -0.0885 eV per atom
* crystal system: tetragonal

a b c (Å): 4.2247 4.2247 10.7380
angles (deg): 90.00 90.00 90.00
With the nearest neighbours (Å) after each atom.
Space group P-4m2 (No. 115)
Asymmetric unit:
Li 0.0000 0.0000 0.0000 [1 per cell]  4 As 2.58
Cu 0.0000 0.5000 0.3659 [2 per cell]  5 As 2.44-2.56
Cu 0.5000 0.5000 0.0000 [1 per cell]  4 As 2.58
As 0.0000 0.0000 0.5000 [1 per cell]  4 Cu 2.56
As 0.0000 0.5000 0.1385 [2 per cell]  3 Cu 2.44-2.58, 2 Li 2.58
As 0.5000 0.5000 0.5000 [1 per cell]  4 Cu 2.56
Pb 0.0000 0.5000 0.7670 [2 per cell]  4 As 3.16, 6 Cu 3.27-3.31, 2 Li 3.27



[12]
Material: LiCu4As3Pb2
Method: DFT, PBE-GGA
State: optimized geometry

* raw total energy: -40.2 eV/cell
* calculated volume: 182.3 Å³/f.u.
* M_tot: 0.0 μB per formula unit
* ΔE_f: -0.0570 eV per atom
* crystal system: tetragonal

a b c (Å): 4.0788 4.0788 10.9580
angles (deg): 90.00 90.00 90.00
With the nearest neighbours (Å) after each atom.
Space group P-4m2 (No. 115)
Asymmetric unit:
Li 0.0000 0.0000 0.0000 [1 per cell]  4 Cu 2.57
Cu 0.0000 0.0000 0.5000 [1 per cell]  4 As 2.50
Cu 0.0000 0.5000 0.1434 [2 per cell]  3 As 2.46-2.57, 2 Li 2.57
Cu 0.5000 0.5000 0.5000 [1 per cell]  4 As 2.50
As 0.0000 0.5000 0.3674 [2 per cell]  5 Cu 2.46-2.50
As 0.5000 0.5000 0.0000 [1 per cell]  4 Cu 2.57
Pb 0.0000 0.5000 0.7595 [2 per cell]  4 Cu 3.07, 6 As 3.20-3.33, 2 Li 3.33



[13]
Material: Li2CuAs2Pd
Method: DFT, PBE-GGA
State: optimized geometry

* raw total energy: -100.2 eV/cell
* calculated volume: 98.2 Å³/f.u.
* M_tot: 0.0 μB per formula unit
* ΔE_f: -0.4401 eV per atom
* crystal system: monoclinic

a b c (Å): 13.6330 5.6245 5.6182
angles (deg): 90.00 114.28 90.00
With the nearest neighbours (Å) after each atom.
Space group C2/c (No. 15)
Asymmetric unit:
Li 0.1610 0.2482 0.1609 [8 per cell]  5 As 2.65-2.89, 2 Pd 2.81-2.82, 2 Cu 2.82-2.83
Cu 0.0000 0.5002 0.2500 [4 per cell]  4 As 2.50
As 0.1262 0.2593 0.6258 [8 per cell]  2 Cu 2.50, 2 Pd 2.56, 1 Li 2.65
Pd 0.0000 0.9998 0.2500 [4 per cell]  4 As 2.56, 2 Pd 2.81, 2 Cu 2.81, 4 Li 2.81-2.82



[14]
Material: Li3Cu2As4Pd2
Method: DFT, PBE-GGA
State: optimized geometry

* raw total energy: -47.1 eV/cell
* calculated volume: 179.2 Å³/f.u.
* M_tot: 0.0 μB per formula unit
* ΔE_f: -0.3823 eV per atom
* crystal system: trigonal

a b c (Å): 4.2700 4.2700 11.3484
angles (deg): 90.00 90.00 120.00
With the nearest neighbours (Å) after each atom.
Space group P-3m1 (No. 164)
Asymmetric unit:
Li 0.0000 0.0000 0.0000 [1 per cell]  6 As 2.72, 6 Pd 2.90, 2 Li 3.01
Li 0.0000 0.0000 0.2655 [2 per cell]  3 As 2.70, 3 Pd 2.88, 1 Li 3.01
Cu 0.3333 0.6667 0.5774 [2 per cell]  4 As 2.43-2.56
As 0.3333 0.6667 0.3629 [2 per cell]  4 Cu 2.43-2.56, 1 Pd 2.59, 3 Li 2.70
As 0.3333 0.6667 0.8986 [2 per cell]  4 Pd 2.49-2.68, 3 Li 2.72
Pd 0.3333 0.6667 0.1350 [2 per cell]  5 As 2.49-2.68



[15]
Material: LiPmCuAs
Method: DFT, PBE-GGA
State: optimized geometry

* raw total energy: -70.2 eV/cell
* calculated volume: 79.9 Å³/f.u.
* M_tot: 0.0 μB per formula unit
* ΔE_f: -0.5340 eV per atom
* crystal system: cubic

a b c (Å): 6.8365 6.8365 6.8365
angles (deg): 90.00 90.00 90.00
With the nearest neighbours (Å) after each atom.
Space group F-43m (No. 216)
Asymmetric unit:
Li 0.0000 0.0000 0.0000 [4 per cell]  4 As 2.96, 4 Cu 2.96
Pm 0.0000 0.0000 0.5000 [4 per cell]  4 As 2.96, 4 Cu 2.96
Cu 0.2500 0.2500 0.2500 [4 per cell]  4 Li 2.96, 4 Pm 2.96
As 0.2500 0.2500 0.7500 [4 per cell]  4 Li 2.96, 4 Pm 2.96



[16]
Material: LiCu2AsRh
Method: DFT, PBE-GGA
State: optimized geometry

* raw total energy: -19.3 eV/cell
* calculated volume: 71.5 Å³/f.u.
* M_tot: 0.0 μB per formula unit
* ΔE_f: 0.5639 eV per atom
* crystal system: tetragonal

a b c (Å): 4.0870 4.0870 4.2778
angles (deg): 90.00 90.00 90.00
With the nearest neighbours (Å) after each atom.
Space group P4/mmm (No. 123)
Asymmetric unit:
Li 0.0000 0.0000 0.0000 [1 per cell]  4 Cu 2.04, 2 Rh 2.14
Cu 0.0000 0.5000 0.0000 [2 per cell]  2 Li 2.04
As 0.5000 0.5000 0.5000 [1 per cell]  4 Rh 2.89, 8 Cu 2.96
Rh 0.0000 0.0000 0.5000 [1 per cell]  2 Li 2.14



[17]
Material: LiCuAsRu2
Method: DFT, PBE-GGA
State: optimized geometry

* raw total energy: -25.6 eV/cell
* calculated volume: 90.4 Å³/f.u.
* M_tot: 1.5 μB per formula unit
* ΔE_f: 0.7220 eV per atom
* crystal system: tetragonal

a b c (Å): 4.5255 4.5255 4.4144
angles (deg): 90.00 90.00 90.00
With the nearest neighbours (Å) after each atom.
Space group P4/mmm (No. 123)
Asymmetric unit:
Li 0.0000 0.0000 0.0000 [1 per cell]  2 As 2.21
Cu 0.5000 0.5000 0.0000 [1 per cell]  8 Ru 3.16, 4 Li 3.20
As 0.0000 0.0000 0.5000 [1 per cell]  2 Li 2.21, 4 Ru 2.26
Ru 0.0000 0.5000 0.5000 [2 per cell]  2 As 2.26



[18]
Material: LiCuAs2S4
Method: DFT, PBE-GGA
State: optimized geometry

* raw total energy: -135.5 eV/cell
* formation energy from raw total energies: -0.258 eV per atom
* calculated volume: 167.2 Å³/f.u.
* M_tot: 0.0 μB per formula unit
* crystal system: orthorhombic

a b c (Å): 8.2225 8.8554 9.1830
angles (deg): 90.00 90.00 90.00
With the nearest neighbours (Å) after each atom.
Space group Fmm2 (No. 42)
Asymmetric unit:
Li 0.0000 0.0000 0.0000 [4 per cell]  4 S 2.51-2.57
Cu 0.0000 0.0000 0.5057 [4 per cell]  4 S 2.32-2.36
As 0.2500 0.2500 0.2486 [8 per cell]  4 S 2.41-2.43
S 0.0000 0.2351 0.3851 [8 per cell]  1 Cu 2.36, 2 As 2.41, 1 Li 2.57
S 0.2381 0.0000 0.6408 [8 per cell]  1 Cu 2.32, 2 As 2.43, 1 Li 2.51



[19]
Material: LiCuAsSe2
Method: DFT, PBE-GGA
State: optimized geometry

* raw total energy: -16.9 eV/cell
* formation energy from raw total energies: 0.139 eV per atom
* calculated volume: 113.5 Å³/f.u.
* M_tot: 0.0 μB per formula unit
* crystal system: tetragonal
* energy above the most stable polymorph in this dataset: 0.000 eV per atom

a b c (Å): 5.0090 5.0090 4.5239
angles (deg): 90.00 90.00 90.00
With the nearest neighbours (Å) after each atom.
Space group P4/mmm (No. 123)
Asymmetric unit:
Li 0.0000 0.0000 0.0000 [1 per cell]  8 Se 3.37, 4 As 3.54
Cu 0.5000 0.5000 0.5000 [1 per cell]  2 As 2.26, 4 Se 2.50
As 0.5000 0.5000 0.0000 [1 per cell]  2 Cu 2.26
Se 0.0000 0.5000 0.5000 [2 per cell]  2 Cu 2.50



[20]
Material: LiCuAsSe3
Method: DFT, PBE-GGA
State: optimized geometry

* raw total energy: -46.5 eV/cell
* formation energy from raw total energies: -0.360 eV per atom
* calculated volume: 126.7 Å³/f.u.
* M_tot: 0.0 μB per formula unit
* crystal system: monoclinic

a b c (Å): 6.8790 3.8128 10.0162
angles (deg): 90.00 105.23 90.00
With the nearest neighbours (Å) after each atom.
Space group P2_1/m (No. 11)
Asymmetric unit:
Li 0.1538 0.2500 0.1643 [2 per cell]  6 Se 2.68-2.87
Cu 0.1038 0.7500 0.5694 [2 per cell]  4 Se 2.42-2.47, 2 Cu 2.56
As 0.3826 0.2500 0.8346 [2 per cell]  6 Se 2.59-2.81
Se 0.0183 0.7500 0.3190 [2 per cell]  3 Cu 2.42-2.47
Se 0.2572 0.7500 0.0000 [2 per cell]  3 As 2.59-2.81, 3 Li 2.73-2.87
Se 0.4648 0.7500 0.6782 [2 per cell]  1 Cu 2.44, 2 As 2.62, 1 Li 2.68